The following is a PBE calculation of a geometry-optimized CeLuZn2 structure, from Alexandria via LeMat-Bulk.

The calculation puts the excess energy over the best structure of this formula in the dataset at 0.81 eV per formula unit.

The space group is R-3m (No. 166, hexagonal axes) and the conventional cell measures 3.3958, 3.3958 and 28.2405 Å, with angles of 90.00, 90.00 and 120.00 degrees. The inequivalent atoms are Ce at (0.0000, 0.0000, 0.0000), Lu at (0.0000, 0.0000, 0.5000) and Zn at (0.0000, 0.0000, 0.2460).

---

The following is a PBE calculation of a geometry-optimized KInPt structure, from Alexandria via LeMat-Bulk.

Its energy is -3.4742 eV/atom.

The space group is P-1 (No. 2) and the conventional cell measures 3.123, 6.295 and 8.512 Å, with angles of 68.36, 79.43 and 89.98 degrees. The inequivalent atoms are K at (0.193, 0.194, 0.112), In at (0.500, 0.244, 0.500) and Pt at (0.109, 0.609, 0.282).

---

The following is a PBE calculation of a geometry-optimized YSiPb structure, from Alexandria via LeMat-Bulk.

The uncorrected formation energy comes out at -0.057 eV per atom. The calculation puts the excess energy over the best structure of this formula in the dataset at 1.36 eV per formula unit.

The space group is F-43m (No. 216) and the conventional cell measures 6.967, 6.967 and 6.967 Å, with angles of 90.00, 90.00 and 90.00 degrees. The inequivalent atoms are Y at (0.000, 0.000, 0.000), Si at (0.250, 0.250, 0.250) and Pb at (0.000, 0.000, 0.500).

---

The following is a PBE calculation of a geometry-optimized YPaNi4 structure, from Alexandria via LeMat-Bulk.

Its energy is -6.8514 eV/atom.

The space group is F-43m (No. 216) and the conventional cell measures 7.169, 7.169 and 7.169 Å, with angles of 90.00, 90.00 and 90.00 degrees. The inequivalent atoms are Y at (0.000, 0.000, 0.000), Pa at (0.250, 0.250, 0.750) and Ni at (0.125, 0.125, 0.375).

---

The following is a PBE calculation of a geometry-optimized K2PuGaO4 structure, from Alexandria via LeMat-Bulk.

The uncorrected formation energy comes out at -1.911 eV per atom.

The space group is P2/m (No. 10) and the conventional cell measures 6.363, 3.542 and 6.507 Å, with angles of 90.00, 108.95 and 90.00 degrees. The inequivalent atoms are K at (0.000, 0.000, 0.000), K at (0.500, 0.500, 0.000), Pu at (0.000, 0.500, 0.500), Ga at (0.500, 0.000, 0.500), O at (0.194, 0.500, 0.312) and O at (0.202, 0.000, 0.691).

---

The following is a PBE calculation of a geometry-optimized Ce2SmEr3Tm6 structure, from Alexandria via LeMat-Bulk.

Its energy is -4.7079 eV/atom.

The space group is C2/m (No. 12) and the conventional cell measures 6.077, 10.521 and 11.601 Å, with angles of 90.00, 100.05 and 90.00 degrees. The inequivalent atoms are Ce at (0.000, 0.167, 0.000), Sm at (0.000, 0.500, 0.000), Er at (0.000, 0.000, 0.500), Er at (0.000, 0.334, 0.500), Tm at (0.248, 0.000, 0.251) and Tm at (0.248, 0.168, 0.749).

---

The following is a PBE calculation of a geometry-optimized K2BaHf3O8 structure, from Alexandria via LeMat-Bulk.

The uncorrected formation energy comes out at -2.954 eV per atom.

The space group is R3m (No. 160, hexagonal axes) and the conventional cell measures 6.5767, 6.5767 and 18.9194 Å, with angles of 90.00, 90.00 and 120.00 degrees. The inequivalent atoms are K at (0.0000, 0.0000, 0.0000), K at (0.0000, 0.0000, 0.3727), Ba at (0.0000, 0.0000, 0.7496), Hf at (0.0030, 0.5015, 0.8746), O at (0.0000, 0.0000, 0.1474), O at (0.0000, 0.0000, 0.6002), O at (0.0409, 0.5204, 0.1500) and O at (0.1870, 0.3740, 0.9289).

---

The following is a PBE calculation of a geometry-optimized Ac2HgPb2O2 structure, from Alexandria via LeMat-Bulk.

The uncorrected formation energy comes out at -1.493 eV per atom.

The space group is P-3m1 (No. 164) and the conventional cell measures 4.0520, 4.0520 and 15.2648 Å, with angles of 90.00, 90.00 and 120.00 degrees. The inequivalent atoms are Ac at (0.3333, 0.6667, 0.2872), Hg at (0.0000, 0.0000, 0.5000), Pb at (0.0000, 0.0000, 0.0980) and O at (0.3333, 0.6667, 0.6859).

---

The following is a PBE calculation of a geometry-optimized RbBaSO4 structure, from Alexandria via LeMat-Bulk.

The uncorrected formation energy comes out at -1.833 eV per atom.

The space group is P2_1/m (No. 11) and the conventional cell measures 6.916, 6.184 and 8.171 Å, with angles of 90.00, 104.70 and 90.00 degrees. The inequivalent atoms are Rb at (0.053, 0.250, 0.145), Ba at (0.357, 0.250, 0.665), S at (0.162, 0.750, 0.393), O at (0.000, 0.250, 0.769), O at (0.068, 0.750, 0.538) and O at (0.293, 0.555, 0.399).

---

The following is a PBE calculation of a geometry-optimized KLi6Pb12 structure, from Alexandria via LeMat-Bulk.

Its energy is -3.1145 eV/atom.

The space group is R-3m (No. 166, hexagonal axes) and the conventional cell measures 13.5563, 13.5563 and 9.9876 Å, with angles of 90.00, 90.00 and 120.00 degrees. The inequivalent atoms are K at (0.0000, 0.0000, 0.0000), Li at (0.0359, 0.5180, 0.2537), Pb at (0.0000, 0.3798, 0.5000) and Pb at (0.0831, 0.1662, 0.3379).

---

The following is a PBE calculation of a geometry-optimized RbNa2GaAu2 structure, from Alexandria via LeMat-Bulk.

Its energy is -2.4477 eV/atom.

The space group is Pmc2_1 (No. 26) and the conventional cell measures 4.774, 9.631 and 7.777 Å, with angles of 90.00, 90.00 and 90.00 degrees. The inequivalent atoms are Rb at (0.000, 0.041, 0.000), Na at (0.000, 0.378, 0.333), Na at (0.500, 0.404, 0.999), Ga at (0.500, 0.271, 0.631), Au at (0.000, 0.331, 0.713) and Au at (0.500, 0.196, 0.308).